Computed, not measured: Nd12DyAl3 after structural relaxation at the PBE level of DFT.

Total DFT energy (no corrections): -0.172 hartree per atom
SG: P4/mmm, No. 123
Energy of formation from the pure elements: -112 meV/atom

Cell lengths 4.936, 4.936, 20.123 Å; angles 90.00, 90.00, 90.00 degrees
Fractional positions:
1 Nd 0.000 0.000 0.000
2 Nd 0.000 0.000 0.243
3 Nd 0.000 0.000 0.500
4 Nd 0.000 0.000 0.757
5 Nd 0.000 0.500 0.122
6 Nd 0.000 0.500 0.366
7 Nd 0.000 0.500 0.634
8 Nd 0.000 0.500 0.878
9 Nd 0.500 0.000 0.122
10 Nd 0.500 0.000 0.366
11 Nd 0.500 0.000 0.634
12 Nd 0.500 0.000 0.878
13 Dy 0.500 0.500 0.500
14 Al 0.500 0.500 0.000
15 Al 0.500 0.500 0.243
16 Al 0.500 0.500 0.757


Computed, not measured: Co2AsW after structural relaxation at the PBE level of DFT.

Total DFT energy (no corrections): -0.287 hartree per atom
SG: Cm, No. 8
Energy of formation from the pure elements: 141 meV/atom

Cell lengths 4.411, 4.411, 4.568 Å; angles 95.73, 95.73, 36.57 degrees
Fractional positions:
1 Co 0.000 0.000 0.000
2 Co 0.739 0.739 0.280
3 As 0.481 0.481 0.431
4 W 0.259 0.259 0.797